Material: PbSeCl2
Method: DFT, PBE-GGA
State: relaxed

Calculated values
N(E_F) ... 0.546 states/eV/atom
Relative energy among the computed polymorphs ... 345 meV/atom

Geometry as CIF:
```
data_PbSeCl2
_chemical_formula_sum 'Pb2 Se2 Cl4'
_cell_length_a 3.627
_cell_length_b 6.022
_cell_length_c 9.414
_cell_angle_alpha 90.00
_cell_angle_beta 90.00
_cell_angle_gamma 90.00
_space_group_name_H-M_alt 'I m m m'
_space_group_IT_number 71
_space_group_name_Hall '-I 2 2'
loop_
_atom_site_label
_atom_site_type_symbol
_atom_site_fract_x
_atom_site_fract_y
_atom_site_fract_z
Pb1 Pb 0.000 0.000 0.000
Se1 Se 0.000 0.000 0.500
Cl1 Cl 0.000 0.500 0.263
```

=====

Material: Pb2SeCl2
Method: DFT, PBE-GGA
State: relaxed

Calculated values
N(E_F) ... 0.000 states/eV/atom
Relative energy among the computed polymorphs ... 7 meV/atom

Geometry as CIF:
```
data_Pb2SeCl2
_chemical_formula_sum 'Pb8 Se4 Cl8'
_cell_length_a 10.439
_cell_length_b 8.990
_cell_length_c 7.537
_cell_angle_alpha 90.00
_cell_angle_beta 95.61
_cell_angle_gamma 90.00
_space_group_name_H-M_alt 'P 1 21/c 1'
_space_group_IT_number 14
_space_group_name_Hall '-P 2ybc'
loop_
_atom_site_label
_atom_site_type_symbol
_atom_site_fract_x
_atom_site_fract_y
_atom_site_fract_z
Pb1 Pb 0.001 0.140 0.264
Pb2 Pb 0.339 0.629 0.622
Se1 Se 0.166 0.646 0.942
Cl1 Cl 0.152 0.095 0.920
Cl2 Cl 0.490 0.659 0.324
```

=====

Material: PbSeCl
Method: DFT, PBE-GGA
State: relaxed

Calculated values
N(E_F) ... 0.910 states/eV/atom
Relative energy among the computed polymorphs ... 391 meV/atom

Geometry as CIF:
```
data_PbSeCl
_chemical_formula_sum 'Pb4 Se4 Cl4'
_cell_length_a 4.988
_cell_length_b 4.995
_cell_length_c 14.580
_cell_angle_alpha 90.00
_cell_angle_beta 90.00
_cell_angle_gamma 90.00
_space_group_name_H-M_alt 'F m m 2'
_space_group_IT_number 42
_space_group_name_Hall 'F 2 -2'
loop_
_atom_site_label
_atom_site_type_symbol
_atom_site_fract_x
_atom_site_fract_y
_atom_site_fract_z
Pb1 Pb 0.000 0.000 0.000
Se1 Se 0.000 0.000 0.363
Cl1 Cl 0.000 0.000 0.618
```

=====

Material: PbSeCl2
Method: DFT, PBE-GGA
State: relaxed

Calculated values
N(E_F) ... 0.000 states/eV/atom
Relative energy among the computed polymorphs ... 53 meV/atom

Geometry as CIF:
```
data_PbSeCl2
_chemical_formula_sum 'Pb1 Se1 Cl2'
_cell_length_a 4.475
_cell_length_b 4.475
_cell_length_c 7.111
_cell_angle_alpha 90.00
_cell_angle_beta 90.00
_cell_angle_gamma 90.00
_space_group_name_H-M_alt 'P 4 m m'
_space_group_IT_number 99
_space_group_name_Hall 'P 4 -2'
loop_
_atom_site_label
_atom_site_type_symbol
_atom_site_fract_x
_atom_site_fract_y
_atom_site_fract_z
Pb1 Pb 0.000 0.000 0.000
Se1 Se 0.500 0.500 0.003
Cl1 Cl 0.000 0.000 0.353
Cl2 Cl 0.500 0.500 0.693
```

=====

Material: PbSeCl2
Method: DFT, PBE-GGA
State: relaxed

Calculated values
N(E_F) ... 0.582 states/eV/atom
Relative energy among the computed polymorphs ... 393 meV/atom

Geometry as CIF:
```
data_PbSeCl2
_chemical_formula_sum 'Pb1 Se1 Cl2'
_cell_length_a 3.842
_cell_length_b 3.842
_cell_length_c 7.790
_cell_angle_alpha 90.00
_cell_angle_beta 90.00
_cell_angle_gamma 90.00
_space_group_name_H-M_alt 'P 4 m m'
_space_group_IT_number 99
_space_group_name_Hall 'P 4 -2'
loop_
_atom_site_label
_atom_site_type_symbol
_atom_site_fract_x
_atom_site_fract_y
_atom_site_fract_z
Pb1 Pb 0.000 0.000 0.000
Se1 Se 0.500 0.500 0.269
Cl1 Cl 0.000 0.000 0.373
Cl2 Cl 0.500 0.500 0.804
```

=====

Material: Pb2SeCl2
Method: DFT, PBE-GGA
State: relaxed

Calculated values
Relative energy among the computed polymorphs ... 272 meV/atom

Geometry as CIF:
```
data_Pb2SeCl2
_chemical_formula_sum 'Pb4 Se2 Cl4'
_cell_length_a 4.438
_cell_length_b 4.438
_cell_length_c 14.281
_cell_angle_alpha 90.00
_cell_angle_beta 90.00
_cell_angle_gamma 90.00
_space_group_name_H-M_alt 'I 4/m m m'
_space_group_IT_number 139
_space_group_name_Hall '-I 4 2'
loop_
_atom_site_label
_atom_site_type_symbol
_atom_site_fract_x
_atom_site_fract_y
_atom_site_fract_z
Pb1 Pb 0.000 0.000 0.117
Se1 Se 0.000 0.000 0.500
Cl1 Cl 0.000 0.500 0.250
```

=====

Material: PbSeCl2
Method: DFT, PBE-GGA
State: relaxed

Calculated values
Relative energy among the computed polymorphs ... 280 meV/atom

Geometry as CIF:
```
data_PbSeCl2
_chemical_formula_sum 'Pb2 Se2 Cl4'
_cell_length_a 4.657
_cell_length_b 6.666
_cell_length_c 8.105
_cell_angle_alpha 90.00
_cell_angle_beta 90.00
_cell_angle_gamma 90.00
_space_group_name_H-M_alt 'C m m 2'
_space_group_IT_number 35
_space_group_name_Hall 'C 2 -2'
loop_
_atom_site_label
_atom_site_type_symbol
_atom_site_fract_x
_atom_site_fract_y
_atom_site_fract_z
Pb1 Pb 0.000 0.000 0.000
Se1 Se 0.000 0.500 0.267
Cl1 Cl 0.000 0.000 0.369
Cl2 Cl 0.000 0.500 0.791
```

=====

Material: PbSeCl2
Method: DFT, PBE-GGA
State: relaxed

Calculated values
N(E_F) ... 0.817 states/eV/atom
Relative energy among the computed polymorphs ... 712 meV/atom

Geometry as CIF:
```
data_PbSeCl2
_chemical_formula_sum 'Pb3 Se3 Cl6'
_cell_length_a 3.4084
_cell_length_b 3.4084
_cell_length_c 30.0636
_cell_angle_alpha 90.00
_cell_angle_beta 90.00
_cell_angle_gamma 120.00
_space_group_name_H-M_alt 'R -3 m'
_space_group_IT_number 166
_space_group_name_Hall '-R 3 2"'
loop_
_atom_site_label
_atom_site_type_symbol
_atom_site_fract_x
_atom_site_fract_y
_atom_site_fract_z
Pb1 Pb 0.0000 0.0000 0.0000
Se1 Se 0.0000 0.0000 0.5000
Cl1 Cl 0.0000 0.0000 0.0922
```

=====

Material: PbSeCl2
Method: DFT, PBE-GGA
State: relaxed

Calculated values
N(E_F) ... 0.486 states/eV/atom
Relative energy among the computed polymorphs ... 428 meV/atom

Geometry as CIF:
```
data_PbSeCl2
_chemical_formula_sum 'Pb1 Se1 Cl2'
_cell_length_a 3.932
_cell_length_b 3.932
_cell_length_c 6.819
_cell_angle_alpha 90.00
_cell_angle_beta 90.00
_cell_angle_gamma 90.00
_space_group_name_H-M_alt 'P 4/m m m'
_space_group_IT_number 123
_space_group_name_Hall '-P 4 2'
loop_
_atom_site_label
_atom_site_type_symbol
_atom_site_fract_x
_atom_site_fract_y
_atom_site_fract_z
Pb1 Pb 0.000 0.000 0.000
Se1 Se 0.000 0.000 0.500
Cl1 Cl 0.500 0.500 0.226
```

=====

Material: PbSeCl2
Method: DFT, PBE-GGA
State: relaxed

Calculated values
N(E_F) ... 0.089 states/eV/atom
Relative energy among the computed polymorphs ... 326 meV/atom

Geometry as CIF:
```
data_PbSeCl2
_chemical_formula_sum 'Pb4 Se4 Cl8'
_cell_length_a 8.427
_cell_length_b 8.427
_cell_length_c 6.736
_cell_angle_alpha 90.00
_cell_angle_beta 90.00
_cell_angle_gamma 90.00
_space_group_name_H-M_alt 'I -4 2 d'
_space_group_IT_number 122
_space_group_name_Hall 'I -4 2bw'
loop_
_atom_site_label
_atom_site_type_symbol
_atom_site_fract_x
_atom_site_fract_y
_atom_site_fract_z
Pb1 Pb 0.000 0.000 0.000
Se1 Se 0.000 0.000 0.500
Cl1 Cl 0.210 0.250 0.125
```

=====

Material: Pb7SeCl12
Method: DFT, PBE-GGA
State: relaxed

Calculated values
N(E_F) ... 0.000 states/eV/atom

Geometry as CIF:
```
data_Pb7SeCl12
_chemical_formula_sum 'Pb21 Se3 Cl36'
_cell_length_a 15.3898
_cell_length_b 15.3898
_cell_length_c 10.6748
_cell_angle_alpha 90.00
_cell_angle_beta 90.00
_cell_angle_gamma 120.00
_space_group_name_H-M_alt 'R -3'
_space_group_IT_number 148
_space_group_name_Hall '-R 3'
loop_
_atom_site_label
_atom_site_type_symbol
_atom_site_fract_x
_atom_site_fract_y
_atom_site_fract_z
Pb1 Pb 0.0000 0.0000 0.0000
Pb2 Pb 0.0389 0.1821 0.3311
Se1 Se 0.0000 0.0000 0.5000
Cl1 Cl 0.0299 0.1592 0.8252
Cl2 Cl 0.0381 0.5860 0.1457
```

=====

Material: Pb2Se2Cl
Method: DFT, PBE-GGA
State: relaxed

Calculated values
N(E_F) ... 0.335 states/eV/atom
Relative energy among the computed polymorphs ... 76 meV/atom

Geometry as CIF:
```
data_Pb2Se2Cl
_chemical_formula_sum 'Pb4 Se4 Cl2'
_cell_length_a 4.631
_cell_length_b 4.631
_cell_length_c 14.461
_cell_angle_alpha 90.00
_cell_angle_beta 90.00
_cell_angle_gamma 90.00
_space_group_name_H-M_alt 'I 4/m m m'
_space_group_IT_number 139
_space_group_name_Hall '-I 4 2'
loop_
_atom_site_label
_atom_site_type_symbol
_atom_site_fract_x
_atom_site_fract_y
_atom_site_fract_z
Pb1 Pb 0.000 0.000 0.123
Se1 Se 0.000 0.500 0.250
Cl1 Cl 0.000 0.000 0.500
```

=====

Material: PbSeCl2
Method: DFT, PBE-GGA
State: relaxed

Calculated values
N(E_F) ... 0.705 states/eV/atom
Relative energy among the computed polymorphs ... 273 meV/atom

Geometry as CIF:
```
data_PbSeCl2
_chemical_formula_sum 'Pb3 Se3 Cl6'
_cell_length_a 4.5440
_cell_length_b 4.5440
_cell_length_c 20.5709
_cell_angle_alpha 90.00
_cell_angle_beta 90.00
_cell_angle_gamma 120.00
_space_group_name_H-M_alt 'R 3 m'
_space_group_IT_number 160
_space_group_name_Hall 'R 3 -2"'
loop_
_atom_site_label
_atom_site_type_symbol
_atom_site_fract_x
_atom_site_fract_y
_atom_site_fract_z
Pb1 Pb 0.0000 0.0000 0.0000
Se1 Se 0.0000 0.0000 0.7271
Cl1 Cl 0.0000 0.0000 0.2602
Cl2 Cl 0.0000 0.0000 0.4468
```

=====

no.,energy (eV/atom),formation energy from raw total energies (meV/atom)
1,-2.96,-242.1
2,-3.81,-891.0
3,-3.36,-345.3
4,-3.26,-534.8
5,-2.92,-195.1
6,-3.54,-626.0
7,-3.03,-307.7
8,-2.60,124.8
9,-2.88,-160.1
10,-2.98,-261.3
11,-3.66,-1080.4
12,-3.70,-456.5
13,-3.04,-314.5